Compound: Nb2Pt7Rh
Source: the Alexandria database
Functional: GGA-PBE
Structure: relaxed

abc: 7.8716 7.8716 3.8912
angles: 90.00 90.00 125.17
With the nearest neighbours (Å) after each atom.
Atoms (fractional coordinates):
Nb 0.1926 0.8074 0.0000  5 Pt 2.53-2.69
Nb 0.8074 0.1926 0.0000  5 Pt 2.53-2.69
Pt 0.0000 0.0000 0.0000  4 Pt 2.65, 2 Nb 2.69
Pt 0.2064 0.4103 0.0000  1 Nb 2.57, 5 Pt 2.65-2.85, 2 Rh 2.78
Pt 0.3083 0.6917 0.5000  2 Nb 2.53, 1 Rh 2.68, 4 Pt 2.70
Pt 0.4103 0.2064 0.0000  1 Nb 2.57, 5 Pt 2.65-2.85, 2 Rh 2.78
Pt 0.5897 0.7936 0.0000  1 Nb 2.57, 5 Pt 2.65-2.85, 2 Rh 2.78
Pt 0.6917 0.3083 0.5000  2 Nb 2.53, 1 Rh 2.68, 4 Pt 2.70
Pt 0.7936 0.5897 0.0000  1 Nb 2.57, 5 Pt 2.65-2.85, 2 Rh 2.78
Rh 0.5000 0.5000 0.5000  10 Pt 2.68-2.78

Results
Density of states at the Fermi level   9.66 states/eV/f.u.
Formation enthalpy at 0 K   0.11 eV per atom
Symmetry   Cmmm, No. 65
Magnetic moment   0.000 μB/atom